Compound: SrNpTl2I8
Source: the Alexandria database
Functional: PBE
Structure: optimized geometry

The structure in POSCAR format:
```
SrNpTl2I8
1.0
7.655 0.000 0.000
0.247 8.114 0.000
0.006 0.005 9.603
Sr Np Tl I
1 1 2 8
Cartesian
0.000 0.000 0.000
0.003 0.002 4.802
3.950 4.058 2.373
3.957 4.061 7.230
1.721 5.547 4.804
1.832 1.077 2.614
1.834 1.081 6.986
2.045 5.411 9.603
5.862 2.708 0.001
6.074 7.037 2.618
6.075 7.042 6.989
6.186 2.571 4.800
```

Computed properties:
Mass density (g cm⁻³): 4.9
Energy (Ry per atom): -0.264
Spin magnetization (μB/f.u.): 3.0
E_form (uncorrected) (kJ/mol of formula units): -1091

Compound: TbNpI
Source: the Alexandria database
Functional: PBE
Structure: optimized geometry

The structure in POSCAR format:
```
TbNpI
1.0
1.832 1.058 13.704
-1.832 1.058 13.704
0.000 -2.115 13.704
Tb Np I
2 2 2
Cartesian
0.000 0.000 8.245
0.000 0.000 32.867
0.000 0.000 13.097
0.000 0.000 28.015
0.000 0.000 2.966
0.000 0.000 38.147
```

Computed properties:
Mass density (g cm⁻³): 10.9
Energy (Ry per atom): -0.499
Spin magnetization (μB/f.u.): 0.0
E_form (uncorrected) (kJ/mol of formula units): -122

Compound: TbNpI6
Source: the Alexandria database
Functional: PBE
Structure: optimized geometry

The structure in POSCAR format:
```
TbNpI6
1.0
7.599 0.000 0.000
0.000 14.440 0.000
-2.357 0.000 7.210
Tb Np I
2 2 12
Cartesian
0.000 0.000 0.000
3.799 7.220 0.000
-1.178 7.220 3.605
2.621 0.000 3.605
1.274 2.136 1.767
1.274 12.303 1.767
0.119 0.000 5.426
1.324 7.220 1.785
0.169 5.083 5.443
0.169 9.356 5.443
5.073 5.083 1.767
5.073 9.356 1.767
3.918 7.220 5.426
5.123 0.000 1.785
3.968 2.136 5.443
3.968 12.303 5.443
```

Computed properties:
Mass density (g cm⁻³): 4.9
Energy (Ry per atom): -0.327
Spin magnetization (μB/f.u.): 4.0
E_form (uncorrected) (kJ/mol of formula units): -844

Compound: NpTcI
Source: the Alexandria database
Functional: PBE
Structure: optimized geometry

The structure in POSCAR format:
```
NpTcI
1.0
22.817 0.000 0.000
0.000 3.749 0.000
-0.254 0.000 3.890
Np Tc I
4 4 4
Cartesian
1.384 0.000 1.117
9.770 1.874 2.773
12.792 1.874 1.117
21.179 0.000 2.773
0.908 1.874 2.962
10.246 0.000 0.928
12.317 0.000 2.962
21.654 1.874 0.928
3.539 1.874 3.821
7.615 0.000 0.069
14.948 0.000 3.821
19.023 1.874 0.069
```

Computed properties:
Mass density (g cm⁻³): 9.2
Energy (Ry per atom): -0.614
Spin magnetization (μB/f.u.): 2.5
E_form (uncorrected) (kJ/mol of formula units): -21

Compound: NpTeI2
Source: the Alexandria database
Functional: PBE
Structure: optimized geometry

The structure in POSCAR format:
```
NpTeI2
1.0
6.085 0.000 0.000
0.000 14.442 0.000
0.000 0.000 8.193
Np Te I
4 4 8
Cartesian
1.521 1.443 0.000
1.521 5.778 4.097
4.564 8.664 4.097
4.564 13.000 0.000
0.000 0.000 2.287
0.000 7.221 6.384
3.043 0.000 2.287
3.043 7.221 6.384
1.521 2.997 5.334
1.521 4.225 1.237
1.521 8.686 2.952
1.521 12.977 7.048
4.564 1.465 7.048
4.564 5.756 2.952
4.564 10.218 1.237
4.564 11.446 5.334
```

Computed properties:
Mass density (g cm⁻³): 5.7
Energy (Ry per atom): -0.400
Spin magnetization (μB/f.u.): 3.8
E_form (uncorrected) (kJ/mol of formula units): -250
Excess energy over the best structure of this formula in the dataset (meV per atom): 0

Compound: NpTeI3
Source: the Alexandria database
Functional: PBE
Structure: optimized geometry

The structure in POSCAR format:
```
NpTeI3
1.0
3.989 -7.921 0.000
3.989 7.921 0.000
-1.948 0.000 15.214
Np Te I
4 4 12
Cartesian
0.348 0.838 2.112
-0.627 -0.838 9.719
6.657 0.838 5.494
5.683 -0.838 13.101
1.327 4.929 10.782
3.729 4.929 12.039
2.302 -4.929 3.175
4.703 -4.929 4.432
0.023 1.738 8.121
0.320 0.743 12.193
0.997 -1.738 0.515
2.887 2.015 1.255
1.294 -0.743 4.586
4.118 2.015 6.351
1.913 -2.015 8.862
4.736 0.743 10.627
3.144 -2.015 13.958
5.033 1.738 14.699
5.710 -0.743 3.020
6.008 -1.738 7.092
```

Computed properties:
Mass density (g cm⁻³): 5.1
Energy (Ry per atom): -0.351
Spin magnetization (μB/f.u.): 3.0
E_form (uncorrected) (kJ/mol of formula units): -306

Compound: NpTe2I
Source: the Alexandria database
Functional: PBE
Structure: optimized geometry

The structure in POSCAR format:
```
NpTe2I
1.0
4.197 0.000 0.000
-2.098 3.634 0.000
0.000 0.000 30.337
Np Te I
3 6 3
Cartesian
0.000 0.000 0.000
0.000 2.423 20.225
2.098 1.211 10.112
0.000 0.000 8.300
0.000 0.000 22.037
0.000 2.423 11.925
0.000 2.423 28.524
2.098 1.211 1.813
2.098 1.211 18.412
0.000 0.000 15.168
0.000 2.423 5.056
2.098 1.211 25.281
```

Computed properties:
Mass density (g cm⁻³): 6.7
Energy (Ry per atom): -0.398
Spin magnetization (μB/f.u.): 3.4
E_form (uncorrected) (kJ/mol of formula units): -84

Compound: NpTeI2
Source: the Alexandria database
Functional: PBE
Structure: optimized geometry

The structure in POSCAR format:
```
NpTeI2
1.0
3.979 0.000 0.000
0.000 11.792 0.000
0.000 0.000 7.467
Np Te I
2 2 4
Cartesian
0.000 0.000 0.000
1.989 5.896 3.734
0.000 5.896 5.939
1.989 0.000 2.206
0.000 3.891 2.433
0.000 7.901 2.433
1.989 2.005 6.166
1.989 9.787 6.166
```

Computed properties:
Mass density (g cm⁻³): 5.9
Energy (Ry per atom): -0.394
Spin magnetization (μB/f.u.): 3.0
E_form (uncorrected) (kJ/mol of formula units): -220
Excess energy over the best structure of this formula in the dataset (meV per atom): 76

Compound: NpTe2I2
Source: the Alexandria database
Functional: PBE
Structure: optimized geometry

The structure in POSCAR format:
```
NpTe2I2
1.0
3.876 -6.964 0.000
3.876 6.964 0.000
-1.872 0.000 7.845
Np Te I
2 4 4
Cartesian
3.876 4.909 0.000
3.876 -4.909 0.000
0.068 0.000 2.424
2.250 0.000 0.788
3.631 0.000 7.057
5.813 0.000 5.421
0.513 2.902 5.978
0.513 -2.902 5.978
5.368 2.902 1.867
5.368 -2.902 1.867
```

Computed properties:
Mass density (g cm⁻³): 5.8
Energy (Ry per atom): -0.371
Spin magnetization (μB/f.u.): 3.0
E_form (uncorrected) (kJ/mol of formula units): -280

Compound: NpTe2I8
Source: the Alexandria database
Functional: PBE
Structure: optimized geometry

The structure in POSCAR format:
```
NpTe2I8
1.0
7.617 -4.386 0.000
7.617 4.386 0.000
-0.718 0.000 8.470
Np Te I
1 2 8
Cartesian
0.000 0.000 0.000
1.943 0.000 3.891
12.572 0.000 4.579
6.839 2.327 1.997
2.908 0.000 1.238
7.677 2.327 6.473
4.288 0.000 5.255
10.228 0.000 3.215
6.839 -2.327 1.997
11.608 0.000 7.232
7.677 -2.327 6.473
```

Computed properties:
Mass density (g cm⁻³): 4.4
Energy (Ry per atom): -0.231
Spin magnetization (μB/f.u.): 3.2
E_form (uncorrected) (kJ/mol of formula units): -289

Compound: NpTiI6
Source: the Alexandria database
Functional: PBE
Structure: optimized geometry

The structure in POSCAR format:
```
NpTiI6
1.0
7.859 0.000 0.000
0.000 13.585 0.000
-0.074 0.000 7.163
Np Ti I
2 2 12
Cartesian
0.000 0.000 0.000
3.930 6.792 0.000
-0.037 0.000 3.582
3.893 6.792 3.582
1.151 2.028 1.993
1.151 11.557 1.993
1.567 6.792 1.957
2.289 0.000 5.206
2.704 4.764 5.170
2.704 8.821 5.170
5.081 4.764 1.993
5.081 8.821 1.993
5.497 0.000 1.957
6.219 6.792 5.206
6.634 2.028 5.170
6.634 11.557 5.170
```

Computed properties:
Mass density (g cm⁻³): 4.5
Energy (Ry per atom): -0.337
Spin magnetization (μB/f.u.): 2.8
E_form (uncorrected) (kJ/mol of formula units): -626

Compound: NpTiI5
Source: the Alexandria database
Functional: PBE
Structure: optimized geometry

The structure in POSCAR format:
```
NpTiI5
1.0
9.391 0.000 0.000
0.000 4.052 0.000
-1.738 0.000 14.735
Np Ti I
2 2 10
Cartesian
0.510 1.013 2.357
7.142 3.039 12.378
3.098 3.039 5.388
4.554 1.013 9.347
-0.102 1.013 11.479
0.955 1.013 5.558
1.705 3.039 0.246
2.602 3.039 8.366
3.626 1.013 3.115
4.027 3.039 11.620
5.051 1.013 6.369
5.948 1.013 14.489
6.698 3.039 9.177
7.755 3.039 3.256
```

Computed properties:
Mass density (g cm⁻³): 5.4
Energy (Ry per atom): -0.350
Spin magnetization (μB/f.u.): 2.5
E_form (uncorrected) (kJ/mol of formula units): -462

Compound: NpTl3I8
Source: the Alexandria database
Functional: PBE
Structure: optimized geometry

The structure in POSCAR format:
```
NpTl3I8
1.0
4.652 -6.865 0.000
4.652 6.865 0.000
0.000 0.000 9.843
Np Tl I
1 3 8
Cartesian
0.000 0.000 0.000
0.000 0.000 4.921
2.326 3.433 2.723
2.326 -3.433 7.120
4.652 3.916 0.000
2.122 0.001 2.089
2.122 -0.001 7.754
4.652 3.383 4.921
4.652 -3.383 4.921
7.182 -0.001 2.089
7.182 0.001 7.754
4.652 -3.916 0.000
```

Computed properties:
Mass density (g cm⁻³): 4.9
Energy (Ry per atom): -0.245
Spin magnetization (μB/f.u.): 2.3
E_form (uncorrected) (kJ/mol of formula units): -728

Compound: NpTlI5
Source: the Alexandria database
Functional: PBE
Structure: optimized geometry

The structure in POSCAR format:
```
NpTlI5
1.0
6.805 -4.711 0.000
6.805 4.711 0.000
-4.817 0.000 10.920
Np Tl I
2 2 10
Cartesian
0.000 0.000 0.000
-2.408 0.000 5.460
3.193 0.249 8.190
5.601 -0.249 2.730
3.193 3.895 8.190
-0.014 1.020 6.840
5.633 1.964 0.065
2.394 -1.020 1.380
5.569 1.964 5.394
3.225 -1.964 5.525
6.400 1.020 9.539
3.161 -1.964 10.854
8.808 -1.020 4.080
5.601 -3.895 2.730
```

Computed properties:
Mass density (g cm⁻³): 5.1
Energy (Ry per atom): -0.294
Spin magnetization (μB/f.u.): 3.0
E_form (uncorrected) (kJ/mol of formula units): -476

Compound: NpTl2I4
Source: the Alexandria database
Functional: PBE
Structure: optimized geometry

The structure in POSCAR format:
```
NpTl2I4
1.0
6.201 0.000 0.000
0.000 6.201 0.000
0.000 0.000 17.241
Np Tl I
2 4 8
Cartesian
0.000 0.000 0.000
3.101 3.101 8.620
0.000 0.000 6.440
0.000 0.000 10.801
3.101 3.101 2.180
3.101 3.101 15.061
0.000 0.000 3.113
0.000 0.000 14.127
0.000 3.101 0.000
0.000 3.101 8.620
3.101 0.000 0.000
3.101 0.000 8.620
3.101 3.101 5.507
3.101 3.101 11.734
```

Computed properties:
Mass density (g cm⁻³): 5.8
Energy (Ry per atom): -0.290
Spin magnetization (μB/f.u.): 5.0
E_form (uncorrected) (kJ/mol of formula units): -360

Compound: NpTl2I6
Source: the Alexandria database
Functional: PBE
Structure: optimized geometry

The structure in POSCAR format:
```
NpTl2I6
1.0
8.132 0.000 0.000
0.000 8.721 0.000
-7.296 0.000 11.635
Np Tl I
2 4 12
Cartesian
0.000 0.000 0.000
-3.648 4.360 5.817
-3.104 0.879 8.998
0.544 3.482 3.181
0.292 5.239 8.454
3.940 7.842 2.637
-0.828 0.249 2.874
-4.476 4.111 8.692
1.448 6.176 0.671
-2.201 6.906 6.489
2.497 1.610 0.584
-1.151 2.751 6.402
1.987 5.970 5.233
-1.661 7.111 11.051
3.036 1.815 5.146
-0.612 2.545 10.964
5.312 4.610 2.943
1.664 8.471 8.760
```

Computed properties:
Mass density (g cm⁻³): 5.7
Energy (Ry per atom): -0.275
Spin magnetization (μB/f.u.): 3.0
E_form (uncorrected) (kJ/mol of formula units): -651

Compound: Np2Tl2I7
Source: the Alexandria database
Functional: PBE
Structure: optimized geometry

The structure in POSCAR format:
```
Np2Tl2I7
1.0
6.790 -4.746 0.000
6.790 4.746 0.000
-0.446 0.000 7.946
Np Tl I
2 2 7
Cartesian
3.204 0.000 0.304
9.929 0.000 7.642
6.567 2.488 3.973
6.567 -2.488 3.973
0.000 0.000 0.000
3.540 2.057 5.969
5.888 0.000 1.909
9.593 2.057 1.977
3.540 -2.057 5.969
7.245 0.000 6.037
9.593 -2.057 1.977
```

Computed properties:
Mass density (g cm⁻³): 5.7
Energy (Ry per atom): -0.327
Spin magnetization (μB/f.u.): 9.0
E_form (uncorrected) (kJ/mol of formula units): -722

Compound: Np2TlI6
Source: the Alexandria database
Functional: PBE
Structure: optimized geometry

The structure in POSCAR format:
```
Np2TlI6
1.0
7.981 0.000 0.000
-3.991 6.912 0.000
0.000 0.000 7.799
Np Tl I
2 1 6
Cartesian
0.000 4.608 0.000
3.991 2.304 0.000
0.000 0.000 3.899
-1.446 2.504 1.842
-2.545 4.408 5.957
2.891 0.000 1.842
1.446 2.504 5.957
5.090 0.000 5.957
2.545 4.408 1.842
```

Computed properties:
Mass density (g cm⁻³): 5.6
Energy (Ry per atom): -0.362
Spin magnetization (μB/f.u.): 9.0
E_form (uncorrected) (kJ/mol of formula units): -659

Compound: Np2Tl5I12
Source: the Alexandria database
Functional: PBE
Structure: optimized geometry

The structure in POSCAR format:
```
Np2Tl5I12
1.0
9.691 -4.540 0.000
9.691 4.540 0.000
-3.698 0.000 10.597
Np Tl I
2 5 12
Cartesian
9.691 2.293 0.000
9.691 -2.293 0.000
0.602 0.000 8.278
2.818 0.000 4.005
7.842 0.000 5.299
12.866 0.000 6.592
15.081 0.000 2.320
-0.558 0.000 2.092
3.121 2.345 9.848
5.265 2.307 4.744
10.418 2.307 5.853
12.562 2.345 0.749
6.472 0.000 8.573
9.212 0.000 2.024
3.121 -2.345 9.848
5.265 -2.307 4.744
10.418 -2.307 5.853
12.562 -2.345 0.749
16.242 0.000 8.505
```

Computed properties:
Mass density (g cm⁻³): 5.4
Energy (Ry per atom): -0.270
Spin magnetization (μB/f.u.): 7.0
E_form (uncorrected) (kJ/mol of formula units): -1290

Compound: NpTl2I5
Source: the Alexandria database
Functional: PBE
Structure: optimized geometry

The structure in POSCAR format:
```
NpTl2I5
1.0
3.206 -8.695 0.000
3.206 8.695 0.000
0.000 0.000 16.002
Np Tl I
2 4 10
Cartesian
3.206 5.659 12.002
3.206 -5.659 4.001
3.206 6.077 0.924
3.206 6.077 7.077
3.206 -6.077 8.925
3.206 -6.077 15.079
3.206 7.901 9.931
3.206 7.901 14.073
3.206 3.578 9.668
3.206 3.578 14.336
3.206 3.449 4.001
3.206 -3.449 12.002
3.206 -3.578 1.667
3.206 -3.578 6.335
3.206 -7.901 1.930
3.206 -7.901 6.071
```

Computed properties:
Mass density (g cm⁻³): 4.8
Energy (Ry per atom): -0.287
Spin magnetization (μB/f.u.): 4.0
E_form (uncorrected) (kJ/mol of formula units): -564